# LaZrAsBr2, relaxed, DFT PBE
data_LaZrAsBr2
_cell_length_a 5.1813
_cell_length_b 5.1813
_cell_length_c 5.3463
_cell_angle_alpha 90.00
_cell_angle_beta 90.00
_cell_angle_gamma 90.00
_symmetry_space_group_name_H-M 'P 4/m m m'
_symmetry_Int_Tables_number 123
_symmetry_space_group_name_Hall '-P 4 2'
loop_
_atom_site_label
_atom_site_type_symbol
_atom_site_fract_x
_atom_site_fract_y
_atom_site_fract_z
La1 La 0.0000 0.0000 0.0000
Zr1 Zr 0.5000 0.5000 0.5000
As1 As 0.5000 0.5000 0.0000
Br1 Br 0.0000 0.5000 0.5000
# Density (g cm⁻³): 5.38
# Calculated volume (Å³/cell): 143.5
# Formation energy without anion corrections (eV per atom): -0.766
# E above lowest polymorph (meV/atom): 0

=====

# LaZrAs2Br, relaxed, DFT PBE
data_LaZrAs2Br
_cell_length_a 5.2252
_cell_length_b 5.2252
_cell_length_c 5.1128
_cell_angle_alpha 90.00
_cell_angle_beta 90.00
_cell_angle_gamma 90.00
_symmetry_space_group_name_H-M 'P 4/m m m'
_symmetry_Int_Tables_number 123
_symmetry_space_group_name_Hall '-P 4 2'
loop_
_atom_site_label
_atom_site_type_symbol
_atom_site_fract_x
_atom_site_fract_y
_atom_site_fract_z
La1 La 0.0000 0.0000 0.0000
Zr1 Zr 0.5000 0.5000 0.5000
As1 As 0.0000 0.5000 0.5000
Br1 Br 0.5000 0.5000 0.0000
# Density (g cm⁻³): 5.47
# Calculated volume (Å³/cell): 139.6
# Formation energy without anion corrections (eV per atom): -0.788

=====

# LiAs4Br, relaxed, DFT PBE
data_LiAs4Br
_cell_length_a 8.7660
_cell_length_b 8.7660
_cell_length_c 8.7660
_cell_angle_alpha 90.00
_cell_angle_beta 90.00
_cell_angle_gamma 90.00
_symmetry_space_group_name_H-M 'F -4 3 m'
_symmetry_Int_Tables_number 216
_symmetry_space_group_name_Hall 'F -4 2 3'
loop_
_atom_site_label
_atom_site_type_symbol
_atom_site_fract_x
_atom_site_fract_y
_atom_site_fract_z
Li1 Li 0.0000 0.0000 0.0000
As1 As 0.0996 0.0996 0.5996
Br1 Br 0.2500 0.2500 0.2500
# Density (g cm⁻³): 3.81
# Calculated volume (Å³/cell): 673.6
# Formation energy without anion corrections (eV per atom): -0.098